Entry 1:
Computed, not measured: a geometry-optimized MgSi2W structure at the PBE-GGA level of DFT.

Total magnetization, μB/atom: 0.0000
Formation energy (no corrections), eV/f.u.: 0.333
Electronic total energy, eV/cell: -75.18

Cell lengths 3.0796, 3.0796, 24.1642 Å; angles 90.00, 90.00, 120.00 degrees
Space group R-3m (No. 166, hexagonal axes)
Asymmetric unit:
Mg 0.0000 0.0000 0.0000 (multiplicity 3)
Si 0.0000 0.0000 0.2423 (multiplicity 6)
W 0.0000 0.0000 0.5000 (multiplicity 3)



Entry 2:
Computed, not measured: a geometry-optimized MgSi2W structure at the PBE-GGA level of DFT.

Total magnetization, μB/atom: 0.0000
Formation energy (no corrections), eV/f.u.: 1.130
Electronic total energy, eV/cell: -48.53

Cell lengths 5.801, 8.374, 2.829 Å; angles 90.00, 115.69, 90.00 degrees
Space group C2/m (No. 12)
Asymmetric unit:
Mg 0.000 0.000 0.000 (multiplicity 2)
Si 0.250 0.250 0.500 (multiplicity 4)
W 0.000 0.500 0.000 (multiplicity 2)



Entry 3:
Computed, not measured: a geometry-optimized MgSi2W structure at the PBE-GGA level of DFT.

Total magnetization, μB/atom: 0.0000
Formation energy (no corrections), eV/f.u.: 0.400
Electronic total energy, eV/cell: -24.99

Cell lengths 3.405, 3.405, 5.256 Å; angles 90.00, 90.00, 90.00 degrees
Space group P4mm (No. 99)
Asymmetric unit:
Mg 0.000 0.000 0.000 (multiplicity 1)
Si 0.000 0.000 0.506 (multiplicity 1)
Si 0.500 0.500 0.242 (multiplicity 1)
W 0.500 0.500 0.713 (multiplicity 1)



Entry 4:
Computed, not measured: a geometry-optimized YMg2Si structure at the PBE-GGA level of DFT.

Total magnetization, μB/atom: 0.0000
Formation energy (no corrections), eV/f.u.: 0.690
Electronic total energy, eV/cell: -43.16

Cell lengths 3.4052, 3.4052, 28.7997 Å; angles 90.00, 90.00, 120.00 degrees
Space group R-3m (No. 166, hexagonal axes)
Asymmetric unit:
Y 0.0000 0.0000 0.0000 (multiplicity 3)
Mg 0.0000 0.0000 0.2341 (multiplicity 6)
Si 0.0000 0.0000 0.5000 (multiplicity 3)



Entry 5:
Computed, not measured: a geometry-optimized YMg4Si structure at the PBE-GGA level of DFT.

Total magnetization, μB/atom: 0.0000
Formation energy (no corrections), eV/f.u.: 1.117
Electronic total energy, eV/cell: -68.59

Cell lengths 8.242, 8.242, 8.242 Å; angles 90.00, 90.00, 90.00 degrees
Space group F-43m (No. 216)
Asymmetric unit:
Y 0.000 0.000 0.000 (multiplicity 4)
Mg 0.125 0.125 0.625 (multiplicity 16)
Si 0.250 0.250 0.250 (multiplicity 4)



Entry 6:
Computed, not measured: a geometry-optimized Y4MgSi structure at the PBE-GGA level of DFT.

Total magnetization, μB/atom: 0.0002
Formation energy (no corrections), eV/f.u.: 2.782
Electronic total energy, eV/cell: -120.37

Cell lengths 8.870, 8.870, 8.870 Å; angles 90.00, 90.00, 90.00 degrees
Space group F-43m (No. 216)
Asymmetric unit:
Y 0.125 0.125 0.125 (multiplicity 16)
Mg 0.250 0.250 0.750 (multiplicity 4)
Si 0.000 0.000 0.500 (multiplicity 4)